Record 1
Here is crystalline Pm3Tm2ThSe6 at its relaxed geometry from Alexandria. Energies are from GGA-PBE.

```
Pm3Tm2ThSe6
1.0
4.097 0.000 0.000
0.000 8.367 0.399
-2.048 -2.304 8.693
Pm Tm Th Se
3 2 1 6
direct
0.500 0.500 0.000
0.841 0.165 0.682
0.159 0.835 0.318
0.834 0.668 0.669
0.166 0.332 0.331
0.500 0.000 0.000
0.329 0.901 0.657
0.671 0.576 0.343
0.671 0.099 0.343
0.007 0.258 0.015
0.993 0.742 0.985
0.329 0.424 0.657
```

energy relative to the elements, uncorrected: -1.724 eV/atom

Record 2
Here is crystalline BaLiPtO2 at its relaxed geometry from Alexandria. Energies are from GGA-PBE.

```
BaLiPtO2
1.0
-3.893 0.779 3.104
-2.526 -4.096 -2.141
3.658 -1.458 4.954
Ba Li Pt O
2 2 2 4
direct
0.264 0.750 0.500
0.736 0.250 0.500
0.500 0.750 0.000
0.500 0.250 0.000
0.000 0.000 0.000
0.000 0.500 0.000
0.691 0.886 0.771
0.691 0.614 0.229
0.309 0.386 0.771
0.309 0.114 0.229
```

energy relative to the elements, uncorrected: -1.552 eV/atom

Record 3
Here is crystalline FeIrRh2Br at its relaxed geometry from Alexandria. Energies are from GGA-PBE.

```
FeIrRh2Br
1.0
4.457 0.000 0.000
0.000 4.413 0.000
0.000 0.000 4.457
Ir Rh Fe Br
1 2 1 1
direct
0.500 0.500 0.500
0.000 0.000 0.500
0.500 0.000 0.000
0.000 0.000 0.000
0.000 0.500 0.000
```

energy relative to the elements, uncorrected: 1.513 eV/atom

Record 4
Here is crystalline LaSb2Rh at its relaxed geometry from Alexandria. Energies are from GGA-PBE.

```
LaSb2Rh
1.0
-1.742 2.831 5.014
1.742 -2.831 5.014
1.742 2.831 -5.014
La Sb Rh
1 2 1
direct
0.000 0.500 0.500
0.704 0.704 0.000
0.296 0.296 0.000
0.500 0.000 0.500
```

energy relative to the elements, uncorrected: -0.541 eV/atom

Record 5
Here is crystalline Tb4RuSe2S at its relaxed geometry from Alexandria. Energies are from GGA-PBE.

```
Tb4RuSe2S
1.0
8.160 0.019 0.130
0.014 8.160 0.130
-3.936 -3.938 5.649
Tb Ru Se S
8 2 4 2
direct
0.230 0.738 0.984
0.762 0.270 0.516
0.238 0.730 0.484
0.770 0.262 0.016
0.767 0.733 0.992
0.767 0.733 0.508
0.233 0.267 0.492
0.233 0.267 0.008
0.000 0.500 0.000
0.000 0.500 0.500
0.500 0.000 0.000
0.500 0.000 0.500
0.000 0.000 0.500
0.500 0.500 0.000
0.500 0.500 0.500
0.000 0.000 0.000
```

energy relative to the elements, uncorrected: -1.430 eV/atom

Record 6
Here is crystalline K2OsRh at its relaxed geometry from Alexandria. Energies are from GGA-PBE.

```
K2OsRh
1.0
5.508 0.000 0.000
0.000 3.905 0.000
0.000 0.000 3.905
K Os Rh
2 1 1
direct
0.000 0.000 0.000
0.000 0.500 0.500
0.500 0.500 0.000
0.500 0.000 0.500
```

distance to the lowest polymorph of the same formula: 633 meV/atom
DFT formation energy: 1.21 eV/atom

Record 7
Here is crystalline Li4YSe at its relaxed geometry from Alexandria. Energies are from GGA-PBE.

```
Li4YSe
1.0
0.000 3.927 3.927
3.927 0.000 3.927
3.927 3.927 0.000
Li Y Se
4 1 1
direct
0.872 0.376 0.376
0.376 0.376 0.872
0.376 0.872 0.376
0.376 0.376 0.376
0.000 0.000 0.000
0.750 0.750 0.750
```

energy relative to the elements, uncorrected: -0.096 eV/atom

Record 8
Here is crystalline Tl2InMo at its relaxed geometry from Alexandria. Energies are from GGA-PBE.

```
Tl2InMo
1.0
-4.922 -0.298 -1.700
-0.976 -0.367 -5.110
-1.804 -4.468 -1.996
In Mo Tl
1 1 2
direct
0.500 0.500 0.500
0.250 0.250 0.250
0.000 0.000 0.000
0.750 0.750 0.750
```

distance to the lowest polymorph of the same formula: 355 meV/atom
DFT formation energy: 0.80 eV/atom

no.,raw total energy (Ha/atom)
1,-0.221
2,-0.203
3,-0.192
4,-0.208
5,-0.231
6,-0.146
7,-0.111
8,-0.139